Here is crystalline PuAg2 at its relaxed geometry from the Alexandria database. Energies are from GGA-PBE.

Cell: 2.976 5.022 5.022 Å, 120.00 90.00 90.00°
Last column: magnetic moment on the atom in μB.
Positions (direct):
Pu 0.500 0.500 0.500  5.68
Ag 0.000 0.167 0.833  0.04
Ag 0.000 0.833 0.167  0.04

Calculated volume: 65 Å³/cell
ρ: 11743 kg/m³
Symmetry: No. 191
Formation energy: -0.0241 eV per atom